# 1
First-principles (PBE) data for VGa2BPd after structural relaxation, as listed in the Alexandria database.

## Properties
DOS at the Fermi energy = 4.01 states/eV/f.u.
raw total energy = -23.0 eV per formula unit
symmetry = No. 123
formation energy from the elements = 0.807 eV/atom

extended XYZ file:
```
5
Lattice="4.7476 0.0000 0.0000 0.0000 4.7476 0.0000 0.0000 0.0000 3.9363" Properties=species:S:1:pos:R:3 pbc="T T T"
V 0.0000 0.0000 0.0000
Ga 0.0000 2.3738 0.0000
Ga 2.3738 0.0000 0.0000
B 0.0000 0.0000 1.9682
Pd 2.3738 2.3738 1.9682
```



# 2
First-principles (PBE) data for Pm3GaB2Pt9 after structural relaxation, as listed in the Alexandria database.

## Properties
DOS at the Fermi energy = 3.49 states/eV/f.u.
raw total energy = -97.7 eV per formula unit
symmetry = No. 164
formation energy from the elements = -0.843 eV/atom

extended XYZ file:
```
15
Lattice="5.7972 0.0000 0.0000 -2.8986 5.0206 0.0000 0.0000 0.0000 9.2538" Properties=species:S:1:pos:R:3 pbc="T T T"
Pm 0.0000 0.0000 0.0000
Pm 0.0000 3.3470 5.6373
Pm 2.8986 1.6735 3.6165
Ga 0.0000 0.0000 4.6269
B 0.0000 3.3470 1.3801
B 2.8986 1.6735 7.8737
Pt -1.4493 2.5103 0.0000
Pt 0.0000 1.6594 2.6631
Pt -1.4616 4.1909 2.6631
Pt 1.4371 0.8297 6.5908
Pt 2.8986 0.0000 0.0000
Pt 1.4493 2.5103 0.0000
Pt 1.4616 4.1909 2.6631
Pt 4.3602 0.8297 6.5908
Pt 2.8986 3.3612 6.5908
```



# 3
First-principles (PBE) data for Pm2Ga2BRh4 after structural relaxation, as listed in the Alexandria database.

## Properties
DOS at the Fermi energy = 5.07 states/eV/f.u.
raw total energy = -57.2 eV per formula unit
symmetry = No. 139
formation energy from the elements = -0.613 eV/atom

extended XYZ file:
```
9
Lattice="-3.0459 3.0459 4.1823 3.0459 -3.0459 4.1823 3.0459 3.0459 -4.1823" Properties=species:S:1:pos:R:3 pbc="T T T"
Pm 3.0459 0.0000 2.0912
Pm 0.0000 3.0459 2.0912
Ga 0.0000 0.0000 1.4685
Ga 0.0000 0.0000 6.8962
B 0.0000 0.0000 4.1823
Rh 1.5570 1.5570 0.0000
Rh 1.4889 -1.4889 4.1823
Rh -1.4889 1.4889 4.1823
Rh 1.4889 1.4889 4.1823
```



# 4
First-principles (PBE) data for Pm2GaBRh6 after structural relaxation, as listed in the Alexandria database.

## Properties
DOS at the Fermi energy = 9.18 states/eV/f.u.
raw total energy = -68.9 eV per formula unit
symmetry = No. 71
formation energy from the elements = -0.560 eV/atom

extended XYZ file:
```
10
Lattice="-3.1179 3.1331 4.4191 3.1179 -3.1331 4.4191 3.1179 3.1331 -4.4191" Properties=species:S:1:pos:R:3 pbc="T T T"
Pm 0.0000 0.0000 2.2136
Pm 0.0000 0.0000 6.6246
Ga 0.0000 3.1331 0.0000
B 3.1179 0.0000 0.0000
Rh 1.6672 1.4486 0.0000
Rh 4.5686 1.4486 0.0000
Rh 3.1179 0.0000 2.0492
Rh 0.0000 3.1331 2.3700
Rh -1.4507 1.6845 4.4191
Rh 1.4507 1.6845 4.4191
```



# 5
First-principles (PBE) data for Pm3Ga2BRh3 after structural relaxation, as listed in the Alexandria database.

## Properties
DOS at the Fermi energy = 5.16 states/eV/f.u.
raw total energy = -54.1 eV per formula unit
symmetry = No. 189
formation energy from the elements = -0.561 eV/atom

extended XYZ file:
```
9
Lattice="7.3633 0.0000 0.0000 -3.6817 6.3768 0.0000 0.0000 0.0000 3.6480" Properties=species:S:1:pos:R:3 pbc="T T T"
Pm -1.3749 2.3814 0.0000
Pm 2.7498 0.0000 0.0000
Pm 2.3067 3.9954 0.0000
Ga 0.0000 4.2512 1.8240
Ga 3.6817 2.1256 1.8240
B 0.0000 0.0000 0.0000
Rh -2.8849 4.9968 1.8240
Rh 0.7967 1.3800 1.8240
Rh 5.7698 0.0000 1.8240
```



# 6
First-principles (PBE) data for Pm2GaB2Rh5 after structural relaxation, as listed in the Alexandria database.

## Properties
DOS at the Fermi energy = 4.02 states/eV/f.u.
raw total energy = -69.8 eV per formula unit
symmetry = No. 127
formation energy from the elements = -0.715 eV/atom

extended XYZ file:
```
20
Lattice="9.6333 0.0000 0.0000 0.0000 9.6333 0.0000 0.0000 0.0000 3.2254" Properties=species:S:1:pos:R:3 pbc="T T T"
Pm 1.7031 3.1135 0.0000
Pm 3.1135 7.9302 0.0000
Pm 6.5198 1.7031 0.0000
Pm 7.9302 6.5198 0.0000
Ga 0.0000 0.0000 0.0000
Ga 4.8166 4.8166 0.0000
B 1.1684 5.9851 0.0000
B 3.6482 1.1684 0.0000
B 5.9851 8.4648 0.0000
B 8.4648 3.6482 0.0000
Rh 0.0000 4.8166 1.6127
Rh 0.6642 7.4998 1.6127
Rh 2.1335 0.6642 1.6127
Rh 2.6831 5.4808 1.6127
Rh 4.1525 2.6831 1.6127
Rh 4.8166 0.0000 1.6127
Rh 5.4808 6.9502 1.6127
Rh 6.9502 4.1525 1.6127
Rh 7.4998 8.9691 1.6127
Rh 8.9691 2.1335 1.6127
```



# 7
First-principles (PBE) data for PmGaBRh3 after structural relaxation, as listed in the Alexandria database.

## Properties
DOS at the Fermi energy = 1.27 states/eV/f.u.
raw total energy = -40.3 eV per formula unit
symmetry = No. 63
formation energy from the elements = -0.634 eV/atom

extended XYZ file:
```
12
Lattice="2.8768 -6.1004 0.0000 2.8768 6.1004 0.0000 0.0000 0.0000 5.7885" Properties=species:S:1:pos:R:3 pbc="T T T"
Pm 2.8768 3.0826 4.3414
Pm 2.8768 -3.0826 1.4471
Ga 2.8768 4.5857 1.4471
Ga 2.8768 -4.5857 4.3414
B 2.8768 0.0996 1.4471
B 2.8768 -0.0996 4.3414
Rh 1.4329 0.0000 0.0000
Rh 1.4329 0.0000 2.8943
Rh 2.8768 2.1848 1.4471
Rh 2.8768 -2.1848 4.3414
Rh 4.3208 0.0000 0.0000
Rh 4.3208 0.0000 2.8943
```



# 8
First-principles (PBE) data for Pm3Ga2BRu3 after structural relaxation, as listed in the Alexandria database.

## Properties
DOS at the Fermi energy = 6.19 states/eV/f.u.
raw total energy = -57.6 eV per formula unit
symmetry = No. 189
formation energy from the elements = -0.314 eV/atom

extended XYZ file:
```
9
Lattice="7.3899 0.0000 0.0000 -3.6949 6.3998 0.0000 0.0000 0.0000 3.5820" Properties=species:S:1:pos:R:3 pbc="T T T"
Pm -2.3512 4.0724 0.0000
Pm 1.3438 2.3274 0.0000
Pm 4.7024 0.0000 0.0000
Ga 0.0000 4.2665 1.7910
Ga 3.6949 2.1333 1.7910
B 0.0000 0.0000 0.0000
Ru -0.8139 1.4098 1.7910
Ru 1.6279 0.0000 1.7910
Ru 2.8810 4.9901 1.7910
```



# 9
First-principles (PBE) data for Pm2GaB2Ru5 after structural relaxation, as listed in the Alexandria database.

## Properties
DOS at the Fermi energy = 10.10 states/eV/f.u.
raw total energy = -75.7 eV per formula unit
symmetry = No. 127
formation energy from the elements = -0.343 eV/atom

extended XYZ file:
```
20
Lattice="9.6879 0.0000 0.0000 0.0000 9.6879 0.0000 0.0000 0.0000 3.1556" Properties=species:S:1:pos:R:3 pbc="T T T"
Pm 1.7094 3.1345 0.0000
Pm 3.1345 7.9784 0.0000
Pm 6.5534 1.7094 0.0000
Pm 7.9784 6.5534 0.0000
Ga 0.0000 0.0000 0.0000
Ga 4.8439 4.8439 0.0000
B 1.1934 6.0373 0.0000
B 3.6506 1.1934 0.0000
B 6.0373 8.4945 0.0000
B 8.4945 3.6506 0.0000
Ru 0.0000 4.8439 1.5778
Ru 0.6676 7.5570 1.5778
Ru 2.1309 0.6676 1.5778
Ru 2.7130 5.5115 1.5778
Ru 4.1763 2.7130 1.5778
Ru 4.8439 0.0000 1.5778
Ru 5.5115 6.9749 1.5778
Ru 6.9749 4.1763 1.5778
Ru 7.5570 9.0203 1.5778
Ru 9.0203 2.1309 1.5778
```



# 10
First-principles (PBE) data for PrGaB after structural relaxation, as listed in the Alexandria database.

## Properties
DOS at the Fermi energy = 1.13 states/eV/f.u.
raw total energy = -15.3 eV per formula unit
symmetry = No. 12
formation energy from the elements = -0.258 eV/atom

extended XYZ file:
```
6
Lattice="6.0652 -1.6765 0.0000 6.0652 1.6765 0.0000 -0.8443 0.0000 5.4518" Properties=species:S:1:pos:R:3 pbc="T T T"
Pr 1.2314 0.0000 1.7554
Pr 10.0547 0.0000 3.6965
Ga 4.5721 0.0000 1.0496
Ga 6.7140 0.0000 4.4022
B 2.1817 0.0000 4.9840
B 9.1044 0.0000 0.4678
```



# 11
First-principles (PBE) data for Pr3GaB2Rh9 after structural relaxation, as listed in the Alexandria database.

## Properties
DOS at the Fermi energy = 15.97 states/eV/f.u.
raw total energy = -105.7 eV per formula unit
symmetry = No. 164
formation energy from the elements = -0.591 eV/atom

extended XYZ file:
```
15
Lattice="6.1675 0.0000 0.0000 -3.0838 5.3412 0.0000 0.0000 0.0000 7.6904" Properties=species:S:1:pos:R:3 pbc="T T T"
Pr 0.0000 0.0000 0.0000
Pr 0.0000 3.5608 5.0758
Pr 3.0838 1.7804 2.6146
Ga 0.0000 0.0000 3.8452
B 0.0000 3.5608 1.1214
B 3.0838 1.7804 6.5690
Rh -1.5419 2.6706 0.0000
Rh 0.0000 1.9044 2.3760
Rh -1.4345 4.3890 2.3760
Rh 1.6493 0.9522 5.3143
Rh 3.0838 0.0000 0.0000
Rh 1.5419 2.6706 0.0000
Rh 1.4345 4.3890 2.3760
Rh 4.5182 0.9522 5.3143
Rh 3.0838 3.4368 5.3143
```



# 12
First-principles (PBE) data for Pr2GaB2Rh5 after structural relaxation, as listed in the Alexandria database.

## Properties
DOS at the Fermi energy = 4.12 states/eV/f.u.
raw total energy = -69.1 eV per formula unit
symmetry = No. 127
formation energy from the elements = -0.644 eV/atom

extended XYZ file:
```
20
Lattice="9.7095 0.0000 0.0000 0.0000 9.7095 0.0000 0.0000 0.0000 3.2492" Properties=species:S:1:pos:R:3 pbc="T T T"
Pr 1.7223 3.1325 0.0000
Pr 3.1325 7.9872 0.0000
Pr 6.5770 1.7223 0.0000
Pr 7.9872 6.5770 0.0000
Ga 0.0000 0.0000 0.0000
Ga 4.8548 4.8548 0.0000
B 1.1712 6.0259 0.0000
B 3.6836 1.1712 0.0000
B 6.0259 8.5384 0.0000
B 8.5384 3.6836 0.0000
Rh 0.0000 4.8548 1.6246
Rh 0.6672 7.5436 1.6246
Rh 2.1659 0.6672 1.6246
Rh 2.6889 5.5220 1.6246
Rh 4.1875 2.6889 1.6246
Rh 4.8548 0.0000 1.6246
Rh 5.5220 7.0206 1.6246
Rh 7.0206 4.1875 1.6246
Rh 7.5436 9.0423 1.6246
Rh 9.0423 2.1659 1.6246
```